# 1
3
Lattice="-1.987 1.987 6.896 1.987 -1.987 6.896 1.987 1.987 -6.896" Properties=species:S:1:pos:R:3 comment="BaDyCd (PBE, optimized geometry)" total_energy_ev_per_atom=-2.579 magmom_total_mub_per_atom=0.001 space_group=I4mm formation_energy_mev_per_atom=-99 relative_energy_mev_per_atom=49 pbc="T T T"
Ba 0.000 0.000 0.000
Dy 0.000 0.000 3.874
Cd 0.000 0.000 9.327

# 2
20
Lattice="6.797 3.924 5.697 -6.797 3.924 5.697 0.000 -7.848 5.697" Properties=species:S:1:pos:R:3 comment="Cs6Cl3O (PBE, optimized geometry)" total_energy_ev_per_atom=-3.018 magmom_total_mub_per_atom=0.081 space_group=R-3c e_form_raw_ev_per_atom=-1.456 pbc="T T T"
Cs -6.007 -1.690 9.732
Cs -1.540 -6.047 7.360
Cs -1.540 -1.801 6.883
Cs -4.467 4.357 7.360
Cs -0.790 2.235 6.883
Cs -2.330 0.433 10.209
Cs 2.330 -0.433 6.883
Cs 0.790 -2.235 10.209
Cs 4.467 -4.357 9.732
Cs 1.540 1.801 10.209
Cs 1.540 6.047 9.732
Cs 6.007 1.690 7.360
Cl -4.154 0.654 7.122
Cl -2.643 -3.271 9.970
Cl 1.511 -3.924 7.122
Cl -1.511 3.924 9.970
Cl 2.643 3.271 7.122
Cl 4.154 -0.654 9.970
O 0.000 0.000 0.000
O 0.000 0.000 8.546

# 3
5
Lattice="7.386 0.000 0.000 0.000 7.386 0.000 0.000 0.000 7.386" Properties=species:S:1:pos:R:3 comment="RbBa3Sr (PBE, optimized geometry)" total_energy_ev_per_atom=-1.241 magmom_total_mub_per_atom=0.823 space_group=Pm-3m formation_energy_mev_per_atom=443 relative_energy_mev_per_atom=0 pbc="T T T"
Rb 0.000 0.000 0.000
Ba 0.000 3.693 3.693
Ba 3.693 0.000 3.693
Ba 3.693 3.693 0.000
Sr 3.693 3.693 3.693

# 4
16
Lattice="10.788 0.000 0.000 0.000 4.194 5.417 0.000 -4.194 5.417" Properties=species:S:1:pos:R:3 comment="Tb14ScAl (PBE, optimized geometry)" total_energy_ev_per_atom=-4.673 magmom_total_mub_per_atom=0.000 space_group=Amm2 formation_energy_mev_per_atom=8 pbc="T T T"
Tb 0.000 0.000 0.000
Tb 0.000 0.000 4.866
Tb 0.000 -1.685 7.887
Tb 0.000 1.685 7.887
Tb 2.464 0.000 2.445
Tb 2.872 -1.735 5.540
Tb 2.872 1.735 5.540
Tb 3.034 0.000 8.583
Tb 5.394 -1.733 3.147
Tb 5.394 1.733 3.147
Tb 7.754 0.000 8.583
Tb 7.916 -1.735 5.540
Tb 7.916 1.735 5.540
Tb 8.323 0.000 2.445
Sc 5.394 0.000 0.212
Al 5.394 0.000 6.244